(1)
! SiTeMo2, relaxed, DFT GGA-PBE; values from VASP
! Energy above the lowest structure with this stoichiometry (meV/atom): 64.1
! Formation energy from raw total energies (eV/atom): 0.088
! Space group: P4/mmm
&SYSTEM
  ibrav = 0, nat = 4, ntyp = 3
/
ATOMIC_SPECIES
Si 28.09 Si.upf
Te 127.60 Te.upf
Mo 95.94 Mo.upf
ATOMIC_POSITIONS angstrom
Si 0.000 0.000 0.000
Te 0.000 0.000 3.218
Mo 1.603 1.603 1.372
Mo 1.603 1.603 5.064
CELL_PARAMETERS angstrom
3.207 0.000 0.000
0.000 3.207 0.000
0.000 0.000 6.436

(2)
! Si2TeMo, relaxed, DFT GGA-PBE; values from VASP
! Formation energy from raw total energies (eV/atom): 0.707
! Space group: I-42d
&SYSTEM
  ibrav = 0, nat = 8, ntyp = 3
/
ATOMIC_SPECIES
Si 28.09 Si.upf
Te 127.60 Te.upf
Mo 95.94 Mo.upf
ATOMIC_POSITIONS angstrom
Si 4.490 1.223 -1.437
Si 1.223 1.497 1.437
Si -1.497 1.770 4.310
Si 1.770 1.497 7.183
Te 2.993 0.000 2.873
Te 0.000 0.000 5.746
Mo 0.000 0.000 0.000
Mo 0.000 2.993 2.873
CELL_PARAMETERS angstrom
-2.993 2.993 5.746
2.993 -2.993 5.746
2.993 2.993 -5.746

no.,N(E_F) (states/eV per atom),theoretical density (Mg/m³)
1,0.487,8.7
2,0.875,4.5